Entry from Alexandria via LeMat-Bulk: a geometry-optimized BaLi2PrAu2 structure (PBE-GGA).

Lattice parameters (Å, degrees): 4.6901 4.6901 8.2494 90.00 90.00 120.00
Space group P-3m1 (No. 164)
One atom of each set of equivalent atoms:
Ba 0.0000 0.0000 0.0000 (multiplicity 1)
Li 0.3333 0.6667 0.2897 (multiplicity 2)
Pr 0.0000 0.0000 0.5000 (multiplicity 1)
Au 0.3333 0.6667 0.7081 (multiplicity 2)

Properties
Mass density = 7.25 g/cm3
Raw total energy = -20.16 eV per formula unit
Magnetic moment = 0.000 μB/atom

Entry from Alexandria via LeMat-Bulk: a geometry-optimized Ta2AgRu structure (PBE-GGA).

Lattice parameters (Å, degrees): 7.2984 7.2984 5.5605 90.00 90.00 90.00
Space group I-42d (No. 122)
One atom of each set of equivalent atoms:
Ta 0.2150 0.2500 0.1250 (multiplicity 8)
Ag 0.0000 0.0000 0.5000 (multiplicity 4)
Ru 0.0000 0.0000 0.0000 (multiplicity 4)

Properties
Mass density = 12.80 g/cm3
Distance to the lowest polymorph of the same formula = 477 meV per atom
Raw total energy = -33.74 eV per formula unit
Magnetic moment = 0.000 μB/atom

Entry from Alexandria via LeMat-Bulk: a geometry-optimized SbTePI2 structure (PBE-GGA).

Lattice parameters (Å, degrees): 5.9294 5.9294 6.2392 90.00 90.00 90.00
Space group P4/mmm (No. 123)
One atom of each set of equivalent atoms:
Sb 0.0000 0.0000 0.0000 (multiplicity 1)
Te 0.0000 0.0000 0.5000 (multiplicity 1)
P 0.5000 0.5000 0.0000 (multiplicity 1)
I 0.0000 0.5000 0.5000 (multiplicity 2)

Properties
Mass density = 4.04 g/cm3
Formation energy (no corrections) = 87.43 kJ/mol of atoms
Distance to the lowest polymorph of the same formula = 448 meV per atom
Raw total energy = -11.24 eV per formula unit
Magnetic moment = 0.196 μB/atom

Entry from Alexandria via LeMat-Bulk: a geometry-optimized KCd2Hg structure (PBE-GGA).

Lattice parameters (Å, degrees): 4.4031 5.4507 10.0637 90.00 90.00 90.00
Space group Immm (No. 71)
One atom of each set of equivalent atoms:
K 0.0000 0.0000 0.0000 (multiplicity 2)
Cd 0.0000 0.5000 0.2239 (multiplicity 4)
Hg 0.0000 0.0000 0.5000 (multiplicity 2)

Properties
Mass density = 6.39 g/cm3
Raw total energy = -3.44 eV per formula unit
Magnetic moment = 0.000 μB/atom

Entry from Alexandria via LeMat-Bulk: a geometry-optimized TiB2AsH structure (PBE-GGA).

Lattice parameters (Å, degrees): 3.7115 3.7115 3.5751 90.00 90.00 90.00
Space group P4/mmm (No. 123)
One atom of each set of equivalent atoms:
Ti 0.0000 0.0000 0.0000 (multiplicity 1)
B 0.0000 0.5000 0.5000 (multiplicity 2)
As 0.5000 0.5000 0.0000 (multiplicity 1)
H 0.5000 0.5000 0.5000 (multiplicity 1)

Properties
Mass density = 4.90 g/cm3
Raw total energy = -25.08 eV per formula unit
Magnetic moment = 0.000 μB/atom

Entry from Alexandria via LeMat-Bulk: a geometry-optimized Ho4GePSe2 structure (PBE-GGA).

Lattice parameters (Å, degrees): 7.0326 4.0639 7.0783 90.00 109.32 90.00
Space group P2/m (No. 10)
One atom of each set of equivalent atoms:
Ho 0.2425 0.0000 0.2315 (multiplicity 2)
Ho 0.2536 0.5000 0.7654 (multiplicity 2)
Ge 0.5000 0.0000 0.0000 (multiplicity 1)
P 0.0000 0.5000 0.0000 (multiplicity 1)
Se 0.0000 0.0000 0.5000 (multiplicity 1)
Se 0.5000 0.5000 0.5000 (multiplicity 1)

Properties
Mass density = 8.01 g/cm3
Formation energy (no corrections) = -153.06 kJ/mol of atoms
Raw total energy = -48.00 eV per formula unit
Magnetic moment = 0.000 μB/atom

Entry from Alexandria via LeMat-Bulk: a geometry-optimized Sr2MgTlNi structure (PBE-GGA).

Lattice parameters (Å, degrees): 5.7058 5.7058 4.9748 90.00 90.00 90.00
Space group P4/mmm (No. 123)
One atom of each set of equivalent atoms:
Sr 0.0000 0.5000 0.0000 (multiplicity 2)
Mg 0.0000 0.0000 0.5000 (multiplicity 1)
Tl 0.5000 0.5000 0.5000 (multiplicity 1)
Ni 0.0000 0.0000 0.0000 (multiplicity 1)

Properties
Mass density = 4.74 g/cm3
Distance to the lowest polymorph of the same formula = 0 meV per atom
Raw total energy = -13.46 eV per formula unit
Magnetic moment = 0.000 μB/atom

Entry from Alexandria via LeMat-Bulk: a geometry-optimized SrScTe3 structure (PBE-GGA).

Lattice parameters (Å, degrees): 5.5960 5.5960 5.5960 90.00 90.00 90.00
Space group Pm-3m (No. 221)
One atom of each set of equivalent atoms:
Sr 0.0000 0.0000 0.0000 (multiplicity 1)
Sc 0.5000 0.5000 0.5000 (multiplicity 1)
Te 0.0000 0.5000 0.5000 (multiplicity 3)

Properties
Mass density = 4.88 g/cm3
Formation energy (no corrections) = -98.03 kJ/mol of atoms
Distance to the lowest polymorph of the same formula = 0 meV per atom
Raw total energy = -22.52 eV per formula unit
Magnetic moment = 0.000 μB/atom

Entry from Alexandria via LeMat-Bulk: a geometry-optimized BeIr2Se structure (PBE-GGA).

Lattice parameters (Å, degrees): 2.8184 4.1300 5.2642 90.00 105.33 90.00
Space group P2/m (No. 10)
One atom of each set of equivalent atoms:
Be 0.0000 0.0000 0.0000 (multiplicity 1)
Ir 0.1433 0.5000 0.7799 (multiplicity 2)
Se 0.0000 0.0000 0.5000 (multiplicity 1)

Properties
Mass density = 13.27 g/cm3
Formation energy (no corrections) = 19.66 kJ/mol of atoms
Distance to the lowest polymorph of the same formula = 169 meV per atom
Raw total energy = -24.12 eV per formula unit
Magnetic moment = 0.000 μB/atom

Entry from Alexandria via LeMat-Bulk: a geometry-optimized CaNd2Dy7 structure (PBE-GGA).

Lattice parameters (Å, degrees): 6.2062 7.2044 8.0414 102.92 97.25 106.73
Space group P-1 (No. 2)
One atom of each set of equivalent atoms:
Ca 0.0000 0.0000 0.0000 (multiplicity 1)
Nd 0.3976 0.7948 0.7957 (multiplicity 2)
Dy 0.0000 0.5000 0.0000 (multiplicity 1)
Dy 0.2009 0.8974 0.4068 (multiplicity 2)
Dy 0.2025 0.4063 0.4078 (multiplicity 2)
Dy 0.4098 0.3050 0.7971 (multiplicity 2)

Properties
Mass density = 7.41 g/cm3
Raw total energy = -43.28 eV per formula unit
Magnetic moment = 0.000 μB/atom

Entry from Alexandria via LeMat-Bulk: a geometry-optimized YBe3Au structure (PBE-GGA).

Lattice parameters (Å, degrees): 4.3556 4.3556 4.3556 90.00 90.00 90.00
Space group Pm-3m (No. 221)
One atom of each set of equivalent atoms:
Y 0.0000 0.0000 0.0000 (multiplicity 1)
Be 0.0000 0.5000 0.5000 (multiplicity 3)
Au 0.5000 0.5000 0.5000 (multiplicity 1)

Properties
Mass density = 6.29 g/cm3
Distance to the lowest polymorph of the same formula = 0 meV per atom
Raw total energy = -20.60 eV per formula unit
Magnetic moment = 0.000 μB/atom

Entry from Alexandria via LeMat-Bulk: a geometry-optimized Pm4PPdCl2 structure (PBE-GGA).

Lattice parameters (Å, degrees): 7.1617 4.0335 7.4063 90.00 107.93 90.00
Space group P2/m (No. 10)
One atom of each set of equivalent atoms:
Pm 0.2254 0.0000 0.2419 (multiplicity 2)
Pm 0.2279 0.5000 0.7319 (multiplicity 2)
P 0.0000 0.0000 0.5000 (multiplicity 1)
Pd 0.0000 0.5000 0.0000 (multiplicity 1)
Cl 0.5000 0.0000 0.0000 (multiplicity 1)
Cl 0.5000 0.5000 0.5000 (multiplicity 1)

Properties
Mass density = 6.43 g/cm3
Formation energy (no corrections) = -126.71 kJ/mol of atoms
Raw total energy = -43.80 eV per formula unit
Magnetic moment = 0.000 μB/atom